[1]
The following is a PBE calculation of crystalline AcTbPr2Nd2 at its relaxed geometry, from Alexandria.

- size of the total moment (μB/cell) = 0.00
- N(E_F) (states/eV per atom) = 1.464
- calculated density (Mg/m³) = 7.28
- formation energy from the elements (eV per atom) = 0.053

a b c (Å): 5.8723 7.3278 10.1377
angles (deg): 90.00 90.00 90.00
With the nearest neighbours (Å) after each atom.
Fractional coordinates of all 12 atoms:
Pr  0.0000  0.2580  0.1657  5 Nd 3.34-3.66
Pr  0.0000  0.7580  0.8343  5 Nd 3.34-3.66
Pr  0.5000  0.0079  0.0000  6 Pr 3.66-3.85, 6 Nd 3.80-3.84, 2 Tb 3.83-3.84
Pr  0.5000  0.5079  0.0000  6 Pr 3.66-3.85, 6 Nd 3.80-3.84, 2 Tb 3.83-3.84
Nd  0.5000  0.2572  0.3291  2 Pr 3.37, 3 Tb 3.43-3.66
Nd  0.0000  0.2580  0.8361  3 Pr 3.34-3.66, 2 Tb 3.40
Nd  0.5000  0.7572  0.6709  2 Pr 3.37, 3 Tb 3.43-3.66
Nd  0.0000  0.7580  0.1639  3 Pr 3.34-3.66, 2 Tb 3.40
Tb  0.5000  0.7572  0.3322  5 Nd 3.40-3.66
Tb  0.5000  0.2572  0.6678  5 Nd 3.40-3.66
Ac  0.0000  0.5073  0.5000  2 Ac 3.66, 2 Pr 3.85, 4 Tb 3.86, 6 Nd 3.87
Ac  0.0000  0.0073  0.5000  2 Ac 3.66, 2 Pr 3.85, 4 Tb 3.86, 6 Nd 3.87

=====

[2]
The following is a PBE calculation of crystalline Nd5ScSb4 at its relaxed geometry, from Alexandria.

- size of the total moment (μB/cell) = 0.00
- N(E_F) (states/eV per atom) = 0.664
- calculated density (Mg/m³) = 6.10
- uncorrected formation energy (eV per atom) = -0.750

a b c (Å): 4.3495 8.5508 9.7426
angles (deg): 104.48 102.90 90.00
With the nearest neighbours (Å) after each atom.
Fractional coordinates of all 10 atoms:
Nd  0.1724  0.3495  0.3447  3 Sb 3.11-3.12
Nd  0.8276  0.6505  0.6553  3 Sb 3.11-3.12
Nd  0.8326  0.1761  0.6652  4 Sb 3.12-3.15
Nd  0.1674  0.8239  0.3348  4 Sb 3.12-3.15
Nd  0.5000  0.5000  0.0000  4 Sb 3.13
Sb  0.0033  0.2380  0.0066  2 Sc 2.97, 4 Nd 3.11-3.15
Sb  0.9967  0.7620  0.9934  2 Sc 2.97, 4 Nd 3.11-3.15
Sb  0.3375  0.9168  0.6750  1 Sc 2.98, 5 Nd 3.12
Sb  0.6625  0.0832  0.3250  1 Sc 2.98, 5 Nd 3.12
Sc  0.5000  0.0000  0.0000  6 Sb 2.97-2.98

=====

[3]
The following is a PBE calculation of crystalline TmPuInHg at its relaxed geometry, from Alexandria.

- size of the total moment (μB/cell) = 6.05
- N(E_F) (states/eV per atom) = 2.135
- ΔE to the lowest computed polymorph (meV/atom) = 0
- calculated density (Mg/m³) = 11.62
- formation energy from the elements (eV per atom) = -0.281

a b c (Å): 3.6120 3.6120 7.9759
angles (deg): 90.00 90.00 90.00
With the nearest neighbours (Å) after each atom.
Fractional coordinates of all 4 atoms:
Tm  0.0000  0.0000  0.8496  4 Hg 3.12, 4 In 3.21
Pu  0.0000  0.0000  0.3595  4 Hg 3.32, 4 In 3.32, 4 Pu 3.61
Hg  0.5000  0.5000  0.6259  4 Tm 3.12, 4 Pu 3.32
In  0.5000  0.5000  0.0930  4 Tm 3.21, 4 Pu 3.32

=====

[4]
The following is a PBE calculation of crystalline YTa3Mo at its relaxed geometry, from Alexandria.

- size of the total moment (μB/cell) = 0.00
- N(E_F) (states/eV per atom) = 1.180
- ΔE to the lowest computed polymorph (meV/atom) = 1677
- calculated density (Mg/m³) = 10.79
- formation energy from the elements (eV per atom) = 2.634

a b c (Å): 4.8208 4.8208 4.8208
angles (deg): 90.00 90.00 90.00
With the nearest neighbours (Å) after each atom.
Fractional coordinates of all 5 atoms:
Ta  0.5000  0.0000  0.0000  2 Y 2.41
Ta  0.0000  0.5000  0.0000  2 Y 2.41
Ta  0.0000  0.0000  0.5000  2 Y 2.41
Mo  0.5000  0.5000  0.5000  12 Ta 3.41
Y  0.0000  0.0000  0.0000  6 Ta 2.41

=====

[5]
The following is a PBE calculation of crystalline Sc3Sn3Rh2 at its relaxed geometry, from Alexandria.

- size of the total moment (μB/cell) = 0.00
- N(E_F) (states/eV per atom) = 0.629
- calculated density (Mg/m³) = 6.99
- formation energy from the elements (eV per atom) = -0.711

a b c (Å): 5.7440 8.5342 13.5082
angles (deg): 90.00 90.00 90.00
With the nearest neighbours (Å) after each atom.
Fractional coordinates of all 32 atoms:
Sn  0.4071  0.6895  0.9694  3 Rh 2.68-2.72, 1 Sc 2.98
Sn  0.5930  0.3105  0.0306  3 Rh 2.68-2.72, 1 Sc 2.98
Sn  0.5930  0.3105  0.4694  3 Rh 2.68-2.72, 1 Sc 2.98
Sn  0.9070  0.8105  0.4694  3 Rh 2.68-2.72, 1 Sc 2.98
Sn  0.1492  0.1989  0.2500  2 Rh 2.67, 4 Sc 2.98-2.99
Sn  0.8508  0.8011  0.7500  2 Rh 2.67, 4 Sc 2.98-2.99
Sn  0.6492  0.3011  0.7500  2 Rh 2.67, 4 Sc 2.98-2.99
Sn  0.3508  0.6989  0.2500  2 Rh 2.67, 4 Sc 2.98-2.99
Sn  0.0930  0.1895  0.5306  3 Rh 2.68-2.72, 1 Sc 2.98
Sn  0.4071  0.6895  0.5306  3 Rh 2.68-2.72, 1 Sc 2.98
Sn  0.9070  0.8105  0.0306  3 Rh 2.68-2.72, 1 Sc 2.98
Sn  0.0930  0.1895  0.9694  3 Rh 2.68-2.72, 1 Sc 2.98
Rh  0.3341  0.4173  0.6241  4 Sn 2.67-2.72, 3 Sc 2.72-2.87
Rh  0.6659  0.5827  0.3759  4 Sn 2.67-2.72, 3 Sc 2.72-2.87
Rh  0.8341  0.0827  0.3759  4 Sn 2.67-2.72, 3 Sc 2.72-2.87
Rh  0.1659  0.9173  0.6241  4 Sn 2.67-2.72, 3 Sc 2.72-2.87
Rh  0.6659  0.5827  0.1241  4 Sn 2.67-2.72, 3 Sc 2.72-2.87
Rh  0.1659  0.9173  0.8759  4 Sn 2.67-2.72, 3 Sc 2.72-2.87
Rh  0.3341  0.4173  0.8759  4 Sn 2.67-2.72, 3 Sc 2.72-2.87
Rh  0.8341  0.0827  0.1241  4 Sn 2.67-2.72, 3 Sc 2.72-2.87
Sc  0.3898  0.9751  0.1149  1 Rh 2.72, 2 Sn 2.98-2.99
Sc  0.8898  0.5249  0.6149  1 Rh 2.72, 2 Sn 2.98-2.99
Sc  0.3574  0.6789  0.7500  4 Rh 2.81-2.87, 4 Sn 2.98-3.09
Sc  0.8898  0.5249  0.8851  1 Rh 2.72, 2 Sn 2.98-2.99
Sc  0.1102  0.4751  0.3851  1 Rh 2.72, 2 Sn 2.98-2.99
Sc  0.6426  0.3211  0.2500  4 Rh 2.81-2.87, 4 Sn 2.98-3.09
Sc  0.1426  0.1789  0.7500  4 Rh 2.81-2.87, 4 Sn 2.98-3.09
Sc  0.6102  0.0249  0.6149  1 Rh 2.72, 2 Sn 2.98-2.99
Sc  0.1102  0.4751  0.1149  1 Rh 2.72, 2 Sn 2.98-2.99
Sc  0.3898  0.9751  0.3851  1 Rh 2.72, 2 Sn 2.98-2.99
Sc  0.6102  0.0249  0.8851  1 Rh 2.72, 2 Sn 2.98-2.99
Sc  0.8574  0.8211  0.2500  4 Rh 2.81-2.87, 4 Sn 2.98-3.09

=====

[6]
The following is a PBE calculation of crystalline KAuC2N2Cl2O at its relaxed geometry, from Alexandria.

- size of the total moment (μB/cell) = 4.00
- calculated density (Mg/m³) = 2.87
- uncorrected formation energy (eV per atom) = 0.136

a b c (Å): 9.1750 9.1750 6.9985
angles (deg): 75.15 75.15 50.22
With the nearest neighbours (Å) after each atom.
Fractional coordinates of all 18 atoms:
K  0.3158  0.6842  0.7500  4 N 2.90-2.96, 2 O 3.02
K  0.6842  0.3158  0.2500  4 N 2.90-2.96, 2 O 3.02
Au  0.0000  0.5000  0.5000  2 C 2.01
Au  0.5000  0.0000  0.0000  2 C 2.01
C  0.8122  0.4939  0.7181  1 N 1.17
C  0.1878  0.5061  0.2819  1 N 1.17
C  0.4939  0.8122  0.2181  1 N 1.17
C  0.5061  0.1878  0.7819  1 N 1.17
N  0.7030  0.4910  0.8458  1 C 1.17
N  0.4910  0.7030  0.3458  1 C 1.17
N  0.2970  0.5090  0.1542  1 C 1.17
N  0.5090  0.2970  0.6542  1 C 1.17
O  0.0000  0.0000  0.0000  2 Cl 2.67
O  0.0000  0.0000  0.5000  2 Cl 2.67
Cl  0.7338  0.9497  0.1437  1 Au 2.33
Cl  0.2662  0.0503  0.8563  1 Au 2.33
Cl  0.0503  0.2662  0.3563  1 Au 2.33
Cl  0.9497  0.7338  0.6437  1 Au 2.33

=====

Question: Which of these has the lowest calculated density?
Answer: KAuC2N2Cl2O

=====

Question: What is the calculated density in the sixth record?
Answer: 2.87 Mg/m³